# 1
Material: Re3BiSb
Method: DFT, meta-GGA SCAN
State: single point on PBEsol structure

Cell and atoms, written as POSCAR:
```
Re3BiSb
1.0
4.850 0.000 0.000
0.000 4.850 0.000
0.000 0.000 4.850
Bi Re Sb
1 3 1
direct
0.500 0.500 0.500 Bi
0.000 0.000 0.500 Re
0.000 0.500 0.000 Re
0.500 0.000 0.000 Re
0.000 0.000 0.000 Sb
```

Results
Calculated volume (Å³/cell): 114.1
Calculated total energy (eV per atom): -63.307
Formation energy (no corrections) (eV per atom): 2.52

# 2
Material: Cu3BSe
Method: DFT, meta-GGA SCAN
State: single point on PBEsol structure

Cell and atoms, written as POSCAR:
```
Cu3BSe
1.0
4.452 0.000 0.000
0.000 4.452 0.000
0.000 0.000 4.452
Cu Se B
3 1 1
direct
0.000 0.500 0.000 Cu
0.000 0.000 0.500 Cu
0.500 0.000 0.000 Cu
0.000 0.000 0.000 Se
0.500 0.500 0.500 B
```

Results
Calculated volume (Å³/cell): 88.2
Calculated total energy (eV per atom): -13.261
Formation energy (no corrections) (eV per atom): 1.36

# 3
Material: SnSb2IBr
Method: DFT, meta-GGA SCAN
State: single point on PBEsol structure

Cell and atoms, written as POSCAR:
```
SnSb2IBr
1.0
-0.662 -5.508 1.007
4.828 -1.025 -2.434
2.560 0.577 4.837
Sb Br Sn I
2 1 1 1
direct
0.000 0.000 0.500 Sb
0.000 0.500 0.000 Sb
0.000 0.000 0.000 Br
0.500 0.500 0.500 Sn
0.500 0.000 0.000 I
```

Results
Calculated volume (Å³/cell): 170.7
Calculated total energy (eV per atom): -32.424
Formation energy (no corrections) (eV per atom): 0.90

# 4
Material: Li2LaGaTc
Method: DFT, meta-GGA SCAN
State: single point on PBEsol structure

Cell and atoms, written as POSCAR:
```
Li2LaGaTc
1.0
4.825 0.000 0.000
0.000 4.937 0.000
0.000 0.000 4.937
La Tc Li Ga
1 1 2 1
direct
0.500 0.000 0.000 La
0.000 0.000 0.000 Tc
0.000 0.000 0.500 Li
0.000 0.500 0.000 Li
0.500 0.500 0.500 Ga
```

Results
Calculated volume (Å³/cell): 117.6
ΔE_f (eV/f.u.): 2.59
Calculated total energy (eV per atom): -19.340

# 5
Material: KV4O8
Method: DFT, meta-GGA SCAN
State: single point on PBEsol structure

Cell and atoms, written as POSCAR:
```
KV4O8
1.0
2.847 0.000 0.000
1.423 7.051 0.000
1.423 0.000 7.051
O K V
8 1 4
direct
0.164 0.295 0.377 O
0.541 0.623 0.295 O
0.155 0.043 0.648 O
0.845 0.957 0.352 O
0.803 0.352 0.043 O
0.197 0.648 0.957 O
0.836 0.705 0.623 O
0.459 0.377 0.705 O
0.500 0.000 0.000 K
0.171 0.473 0.184 V
0.829 0.527 0.816 V
0.355 0.816 0.473 V
0.645 0.184 0.527 V
```

Results
Calculated volume (Å³/cell): 141.5
Calculated total energy (eV per atom): -12.494
Formation energy (no corrections) (eV per atom): -2.64

# 6
Material: BaSi3O
Method: DFT, meta-GGA SCAN
State: single point on PBEsol structure

Cell and atoms, written as POSCAR:
```
BaSi3O
1.0
-4.314 -0.527 1.255
-0.401 -3.493 -2.846
1.301 -2.825 3.284
Ba Si O
1 3 1
direct
0.500 0.500 0.500 Ba
0.000 0.500 0.000 Si
0.500 0.000 0.000 Si
0.000 0.000 0.500 Si
0.000 0.000 0.000 O
```

Results
Calculated volume (Å³/cell): 92.6
Calculated total energy (eV per atom): -14.950
Formation energy (no corrections) (eV per atom): 0.22

# 7
Material: LiZnHg2
Method: DFT, meta-GGA SCAN
State: single point on PBEsol structure

Cell and atoms, written as POSCAR:
```
LiZnHg2
1.0
3.510 0.000 0.000
0.000 4.495 0.000
0.000 0.000 4.495
Hg Zn Li
2 1 1
direct
0.000 0.000 0.125 Hg
0.000 0.500 0.625 Hg
0.500 0.500 0.124 Zn
0.500 0.000 0.626 Li
```

Results
Calculated volume (Å³/cell): 70.9
ΔE_f (eV/f.u.): -0.77
Calculated total energy (eV per atom): -38.252

# 8
Material: HfZr3As
Method: DFT, meta-GGA SCAN
State: single point on PBEsol structure

Cell and atoms, written as POSCAR:
```
HfZr3As
1.0
-1.429 3.888 2.864
-4.744 -1.688 -0.075
0.902 -2.719 4.141
As Hf Zr
1 1 3
direct
0.500 0.500 0.500 As
0.000 0.000 0.000 Hf
0.500 0.000 0.000 Zr
0.000 0.500 0.000 Zr
0.000 0.000 0.500 Zr
```

Results
Calculated volume (Å³/cell): 127.7
ΔE_f (eV/f.u.): 5.06
Calculated total energy (eV per atom): -33.980

# 9
Material: TlFe2Ru
Method: DFT, meta-GGA SCAN
State: single point on PBEsol structure

Cell and atoms, written as POSCAR:
```
TlFe2Ru
1.0
2.805 0.000 0.000
1.403 2.429 0.000
1.403 0.810 8.569
Fe Tl Ru
2 1 1
direct
0.757 0.757 0.729 Fe
0.243 0.243 0.271 Fe
0.000 0.000 0.000 Tl
0.500 0.500 0.500 Ru
```

Results
Relative energy among the computed polymorphs (eV per formula unit): 0.84
Calculated volume (Å³/cell): 58.4
ΔE_f (eV/f.u.): 2.35
Calculated total energy (eV per atom): -35.273

# 10
Material: Y3HPd
Method: DFT, meta-GGA SCAN
State: single point on PBEsol structure

Cell and atoms, written as POSCAR:
```
Y3HPd
1.0
-0.392 -3.909 -2.487
-2.458 -1.940 3.437
-3.927 1.604 -1.903
Pd Y H
1 3 1
direct
0.500 0.500 0.500 Pd
0.000 0.000 0.500 Y
0.500 0.000 0.000 Y
0.000 0.500 0.000 Y
0.000 0.000 0.000 H
```

Results
Calculated volume (Å³/cell): 100.5
Calculated total energy (eV per atom): -24.285

# 11
Material: CoTe2As
Method: DFT, meta-GGA SCAN
State: single point on PBEsol structure

Cell and atoms, written as POSCAR:
```
CoTe2As
1.0
-3.537 -0.240 1.305
-2.892 -0.257 -2.417
-1.654 -6.737 -0.256
As Co Te
1 1 2
direct
0.000 0.000 0.000 As
0.500 0.500 0.500 Co
0.236 0.236 0.293 Te
0.764 0.764 0.707 Te
```

Results
Calculated volume (Å³/cell): 81.4
Calculated total energy (eV per atom): -27.826
Formation energy (no corrections) (eV per atom): 0.17

# 12
Material: Mg2HBr2
Method: DFT, meta-GGA SCAN
State: single point on PBEsol structure

Cell and atoms, written as POSCAR:
```
Mg2HBr2
1.0
4.396 0.000 0.000
0.000 6.726 0.000
0.000 0.000 6.726
Br H Mg
4 2 4
direct
0.500 0.171 0.671 Br
0.500 0.829 0.329 Br
0.500 0.671 0.829 Br
0.500 0.329 0.171 Br
0.000 0.500 0.500 H
0.000 0.000 0.000 H
0.000 0.177 0.323 Mg
0.000 0.323 0.823 Mg
0.000 0.677 0.177 Mg
0.000 0.823 0.677 Mg
```

Results
Calculated volume (Å³/cell): 198.8
Calculated total energy (eV per atom): -10.978

# 13
Material: Li2Cr3Fe2O12
Method: DFT, meta-GGA SCAN
State: single point on PBEsol structure

Cell and atoms, written as POSCAR:
```
Li2Cr3Fe2O12
1.0
8.934 0.000 0.000
0.000 8.952 0.000
0.000 0.000 12.414
Li O Fe Cr
8 48 8 12
direct
0.273 0.219 0.812 Li
0.773 0.781 0.812 Li
0.727 0.781 0.188 Li
0.727 0.281 0.312 Li
0.227 0.219 0.188 Li
0.227 0.719 0.312 Li
0.773 0.281 0.688 Li
0.273 0.719 0.688 Li
0.725 0.668 0.326 O
0.631 0.432 0.066 O
0.896 0.917 0.157 O
0.560 0.653 0.521 O
0.131 0.568 0.066 O
0.661 0.148 0.588 O
0.021 0.676 0.271 O
0.839 0.148 0.412 O
0.369 0.568 0.934 O
0.604 0.417 0.657 O
0.725 0.168 0.174 O
0.775 0.168 0.826 O
0.661 0.648 0.912 O
0.161 0.852 0.588 O
0.131 0.068 0.434 O
0.775 0.668 0.674 O
0.225 0.832 0.174 O
0.104 0.083 0.843 O
0.869 0.932 0.566 O
0.896 0.417 0.343 O
0.979 0.824 0.771 O
0.479 0.176 0.771 O
0.396 0.083 0.157 O
0.940 0.153 0.021 O
0.021 0.176 0.229 O
0.440 0.347 0.479 O
0.979 0.324 0.729 O
0.060 0.847 0.979 O
0.275 0.832 0.826 O
0.521 0.824 0.229 O
0.225 0.332 0.326 O
0.440 0.847 0.021 O
0.604 0.917 0.843 O
0.369 0.068 0.566 O
0.275 0.332 0.674 O
0.560 0.153 0.979 O
0.161 0.352 0.912 O
0.479 0.676 0.729 O
0.060 0.347 0.521 O
0.339 0.852 0.412 O
0.940 0.653 0.479 O
0.869 0.432 0.934 O
0.521 0.324 0.271 O
0.104 0.583 0.657 O
0.396 0.583 0.343 O
0.839 0.648 0.088 O
0.339 0.352 0.088 O
0.631 0.932 0.434 O
0.532 0.752 0.383 Fe
0.032 0.748 0.117 Fe
0.968 0.752 0.617 Fe
0.532 0.252 0.117 Fe
0.032 0.248 0.383 Fe
0.968 0.252 0.883 Fe
0.468 0.748 0.883 Fe
0.468 0.248 0.617 Fe
0.250 0.463 0.000 Cr
0.605 0.603 0.644 Cr
0.895 0.603 0.356 Cr
0.750 0.537 0.000 Cr
0.250 0.963 0.500 Cr
0.105 0.397 0.644 Cr
0.605 0.103 0.856 Cr
0.395 0.397 0.356 Cr
0.395 0.897 0.144 Cr
0.895 0.103 0.144 Cr
0.750 0.037 0.500 Cr
0.105 0.897 0.856 Cr
```

Results
Calculated volume (Å³/cell): 992.8
Calculated total energy (eV per atom): -10.939
Formation energy (no corrections) (eV per atom): -1.94

# 14
Material: Ag2F
Method: DFT, meta-GGA SCAN
State: single point on PBEsol structure

Cell and atoms, written as POSCAR:
```
Ag2F
1.0
-0.449 -0.851 -2.777
-2.145 -0.284 1.990
-1.906 5.258 -1.303
Ag F
2 1
direct
0.667 0.333 0.308 Ag
0.333 0.667 0.692 Ag
0.000 0.000 0.000 F
```

Results
Calculated volume (Å³/cell): 43.0
Calculated total energy (eV per atom): -22.899
Formation energy (no corrections) (eV per atom): -0.81

# 15
Material: KIrI3
Method: DFT, meta-GGA SCAN
State: single point on PBEsol structure

Cell and atoms, written as POSCAR:
```
KIrI3
1.0
-4.825 -1.931 -1.593
1.621 -5.046 1.208
-1.908 0.598 5.055
Ir I K
1 3 1
direct
0.000 0.000 0.000 Ir
0.000 0.000 0.500 I
0.500 0.000 0.000 I
0.000 0.500 0.000 I
0.500 0.500 0.500 K
```

Results
Calculated volume (Å³/cell): 160.7
Calculated total energy (eV per atom): -38.271
Formation energy (no corrections) (eV per atom): -0.34

# 16
Material: Tm2AlSi2
Method: DFT, meta-GGA SCAN
State: single point on PBEsol structure

Cell and atoms, written as POSCAR:
```
Tm2AlSi2
1.0
-0.017 1.135 3.860
-0.948 -4.218 3.333
4.201 -2.148 2.746
Si Al Tm
2 1 2
direct
0.500 0.711 0.289 Si
0.500 0.289 0.711 Si
0.000 0.000 0.000 Al
0.210 0.290 0.290 Tm
0.790 0.710 0.710 Tm
```

Results
Calculated volume (Å³/cell): 95.2
Calculated total energy (eV per atom): -27.028
Formation energy (no corrections) (eV per atom): -0.74

# 17
Material: EuPS3
Method: DFT, meta-GGA SCAN
State: single point on PBEsol structure

Cell and atoms, written as POSCAR:
```
EuPS3
1.0
6.481 0.000 0.014
0.000 7.408 0.000
-0.274 0.000 9.100
S P Eu
12 4 4
direct
0.171 0.691 0.457 S
0.150 0.694 0.059 S
0.650 0.806 0.559 S
0.671 0.809 0.957 S
0.850 0.306 0.941 S
0.109 0.997 0.733 S
0.829 0.309 0.543 S
0.329 0.191 0.043 S
0.609 0.503 0.233 S
0.391 0.497 0.767 S
0.350 0.194 0.441 S
0.891 0.003 0.267 S
0.068 0.109 0.933 P
0.432 0.609 0.567 P
0.568 0.391 0.433 P
0.932 0.891 0.067 P
0.456 0.884 0.250 Eu
0.956 0.616 0.750 Eu
0.544 0.116 0.750 Eu
0.044 0.384 0.250 Eu
```

Results
Calculated volume (Å³/cell): 436.9
Calculated total energy (eV per atom): -19.875
Formation energy (no corrections) (eV per atom): -1.28

# 18
Material: KBaLi3
Method: DFT, meta-GGA SCAN
State: single point on PBEsol structure

Cell and atoms, written as POSCAR:
```
KBaLi3
1.0
-1.880 1.862 5.345
-5.456 0.901 -2.234
-1.505 -5.594 1.420
Li K Ba
3 1 1
direct
0.000 0.000 0.500 Li
0.000 0.500 0.000 Li
0.500 0.000 0.000 Li
0.000 0.000 0.000 K
0.500 0.500 0.500 Ba
```

Results
Calculated volume (Å³/cell): 212.2
ΔE_f (eV/f.u.): 1.90
Calculated total energy (eV per atom): -10.631

# 19
Material: Fe2CuP
Method: DFT, meta-GGA SCAN
State: single point on PBEsol structure

Cell and atoms, written as POSCAR:
```
Fe2CuP
1.0
2.749 0.000 0.000
0.000 3.873 0.027
0.000 -0.025 3.873
P Fe Cu
1 2 1
direct
0.500 0.000 0.000 P
0.000 0.000 0.500 Fe
0.000 0.500 0.000 Fe
0.500 0.500 0.500 Cu
```

Results
Calculated volume (Å³/cell): 41.2
ΔE_f (eV/f.u.): 0.38
Calculated total energy (eV per atom): -15.369

# 20
Material: YTa3Ir
Method: DFT, meta-GGA SCAN
State: single point on PBEsol structure

Cell and atoms, written as POSCAR:
```
YTa3Ir
1.0
-1.806 4.303 -1.401
-4.183 -2.162 -1.250
-1.726 0.739 4.495
Ta Ir Y
3 1 1
direct
0.500 0.000 0.000 Ta
0.000 0.000 0.500 Ta
0.000 0.500 0.000 Ta
0.000 0.000 0.000 Ir
0.500 0.500 0.500 Y
```

Results
Calculated volume (Å³/cell): 115.6
ΔE_f (eV/f.u.): 3.09
Calculated total energy (eV per atom): -59.120